(1)
Ag7Hg: relaxed, PBE-GGA.

abc: 2.9168 3.9983 31.4833
angles: 90.00 90.00 90.00
Fractional coordinates of all 16 atoms:
Ag 0.2500 0.2500 0.0240
Ag 0.2500 0.2500 0.1199
Ag 0.2500 0.2500 0.2153
Ag 0.2500 0.2500 0.3107
Ag 0.2500 0.2500 0.7379
Ag 0.2500 0.2500 0.8325
Ag 0.2500 0.2500 0.9278
Ag 0.7500 0.7500 0.0722
Ag 0.7500 0.7500 0.1675
Ag 0.7500 0.7500 0.2621
Ag 0.7500 0.7500 0.6893
Ag 0.7500 0.7500 0.7847
Ag 0.7500 0.7500 0.8801
Ag 0.7500 0.7500 0.9760
Hg 0.2500 0.2500 0.6330
Hg 0.7500 0.7500 0.3670

SG: Pmmn (59)
Energy above the most stable polymorph in this dataset: 0.013 eV/atom

---

(2)
LaAgPbS3: relaxed, PBE-GGA.

abc: 6.9135 6.9135 10.9226
angles: 90.00 90.00 145.09
Fractional coordinates of all 12 atoms:
La 0.0000 0.0000 0.0000
La 0.0000 0.0000 0.5000
Ag 0.4728 0.5272 0.7500
Ag 0.5272 0.4728 0.2500
Pb 0.2438 0.7562 0.2500
Pb 0.7562 0.2438 0.7500
S 0.0905 0.9095 0.7500
S 0.3571 0.6429 0.5673
S 0.3571 0.6429 0.9327
S 0.6429 0.3571 0.0673
S 0.6429 0.3571 0.4327
S 0.9095 0.0905 0.2500

SG: Cmcm (63)
Energy above the most stable polymorph in this dataset: 0.037 eV/atom

---

(3)
InCu3IrS4: relaxed, PBE-GGA.

abc: 5.6459 5.6459 5.6459
angles: 90.00 90.00 90.00
Fractional coordinates of all 9 atoms:
In 0.0000 0.0000 0.0000
Cu 0.0000 0.5000 0.5000
Cu 0.5000 0.0000 0.5000
Cu 0.5000 0.5000 0.0000
Ir 0.5000 0.5000 0.5000
S 0.2631 0.2631 0.2631
S 0.2631 0.7369 0.7369
S 0.7369 0.2631 0.7369
S 0.7369 0.7369 0.2631

SG: P-43m (215)
Energy: -4.37 eV per atom

---

(4)
GdEr2Mg3Pt2Au: relaxed, PBE-GGA.

abc: 4.0387 7.4585 7.4585
angles: 120.24 90.00 90.00
Fractional coordinates of all 9 atoms:
Gd 0.0000 0.0000 0.0000
Er 0.0000 0.4172 0.8326
Er 0.0000 0.8326 0.4172
Mg 0.5000 0.1656 0.4180
Mg 0.5000 0.4180 0.1656
Mg 0.5000 0.6675 0.6675
Pt 0.5000 0.0845 0.7465
Pt 0.5000 0.7465 0.0845
Au 0.0000 0.4195 0.4195

SG: Amm2 (38)
Energy: -4.63 eV per atom